DFT (GGA+U) results for a relaxed NdNpCrO6 crystal.

a b c (Å): 5.6962 5.6962 8.6177
angles (deg): 90.00 90.00 120.00
Closest atoms and distances in Å follow each position.
Space group P-31c (No. 163)
Unique sites:
Nd (0.3333, 0.6667, 0.2500)  6 O 2.39
Np (0.3333, 0.6667, 0.7500)  6 O 2.09
Cr (0.0000, 0.0000, 0.0000)  6 O 2.11
O (0.0419, 0.3403, 0.6216)  1 Np 2.09, 1 Cr 2.11

## Properties
Total DFT energy (no corrections) in eV per atom: -8.6106
Total moment in μB per formula unit: 4.00